## one
Ac3CdGe2: relaxed, PBE-GGA.

POSCAR file:
```
Ac3CdGe2
1.0
-7.459 4.346 1.781
-7.813 -3.725 1.668
-4.140 0.072 7.781
Ac Cd Ge
6 2 4
Direct
0.450 0.050 0.750 Ac
0.050 0.750 0.450 Ac
0.750 0.450 0.050 Ac
0.550 0.950 0.250 Ac
0.950 0.250 0.550 Ac
0.250 0.550 0.950 Ac
0.500 0.500 0.500 Cd
0.000 0.000 0.000 Cd
0.346 0.346 0.346 Ge
0.154 0.154 0.154 Ge
0.846 0.846 0.846 Ge
0.654 0.654 0.654 Ge
```

Results
volume: 35.23 Å³ per atom
SG: No. 167

## two
Ac3CdGe2: relaxed, PBE-GGA.

POSCAR file:
```
Ac3CdGe2
1.0
4.574 0.000 -1.447
0.000 4.563 0.000
0.291 0.000 8.874
Ac Cd Ge
3 1 2
Direct
0.329 0.000 0.659 Ac
0.671 0.000 0.341 Ac
0.500 0.500 0.000 Ac
0.000 0.000 0.000 Cd
0.145 0.500 0.290 Ge
0.855 0.500 0.710 Ge
```

Results
volume: 31.19 Å³ per atom
SG: No. 65

Most stable structure: one

## one
Ac2CdGe3: relaxed, PBE-GGA.

POSCAR file:
```
Ac2CdGe3
1.0
-4.497 0.425 -1.116
-0.647 -4.476 0.906
0.942 3.724 7.325
Ac Cd Ge
2 1 3
Direct
0.130 0.130 0.261 Ac
0.869 0.369 0.738 Ac
0.459 0.959 0.918 Cd
0.710 0.710 0.420 Ge
0.545 0.545 0.091 Ge
0.286 0.786 0.572 Ge
```

Results
volume: 27.16 Å³ per atom
SG: No. 44

## two
Ac2CdGe3: relaxed, PBE-GGA.

POSCAR file:
```
Ac2CdGe3
1.0
-6.205 1.300 1.093
-0.163 -4.810 4.269
5.232 6.740 3.014
Ac Cd Ge
4 2 6
Direct
0.250 0.750 0.500 Ac
0.759 0.759 0.000 Ac
0.750 0.250 0.500 Ac
0.241 0.241 0.000 Ac
0.665 0.665 0.331 Cd
0.335 0.335 0.669 Cd
0.330 0.834 0.164 Ge
0.166 0.670 0.836 Ge
0.670 0.166 0.836 Ge
0.834 0.330 0.164 Ge
0.164 0.164 0.329 Ge
0.836 0.836 0.671 Ge
```

Results
volume: 27.04 Å³ per atom
SG: No. 69

Most stable structure: one

## one
Ac6CdGe2: relaxed, PBE-GGA.

POSCAR file:
```
Ac6CdGe2
1.0
-1.519 2.280 4.721
2.866 -6.023 3.831
6.576 5.644 -3.771
Ac Cd Ge
6 1 2
Direct
0.169 0.424 0.338 Ac
0.831 0.086 0.662 Ac
0.831 0.576 0.662 Ac
0.500 0.261 0.000 Ac
0.169 0.914 0.338 Ac
0.500 0.739 0.000 Ac
0.000 0.000 0.000 Cd
0.670 0.670 0.339 Ge
0.330 0.330 0.661 Ge
```

Results
volume: 38.20 Å³ per atom
SG: No. 71

## two
Ac6CdGe2: relaxed, PBE-GGA.

POSCAR file:
```
Ac6CdGe2
1.0
-2.592 8.228 3.953
-1.805 -0.085 -9.316
-4.923 -7.111 3.903
Ac Cd Ge
12 2 4
Direct
0.553 0.727 0.825 Ac
0.447 0.273 0.175 Ac
0.098 0.273 0.825 Ac
0.902 0.727 0.175 Ac
0.804 0.751 0.554 Ac
0.196 0.249 0.446 Ac
0.196 0.751 0.947 Ac
0.804 0.249 0.053 Ac
0.697 0.368 0.671 Ac
0.303 0.632 0.329 Ac
0.303 0.974 0.671 Ac
0.697 0.026 0.329 Ac
0.000 0.500 0.500 Cd
0.000 0.000 0.000 Cd
0.500 0.385 0.885 Ge
0.500 0.615 0.115 Ge
0.658 0.000 0.658 Ge
0.342 0.000 0.342 Ge
```

Results
volume: 36.50 Å³ per atom
SG: No. 71

Most stable structure: two